TaCdNi2: optimized geometry, PBE-GGA.

a b c (Å): 4.8899 4.8899 4.8899
angles (deg): 134.14 134.14 66.86
Atoms (fractional coordinates):
Ta 0.0000 0.0000 0.0000
Cd 0.2500 0.7500 0.5000
Ni 0.5000 0.5000 0.0000
Ni 0.7500 0.2500 0.5000

Values from the calculation:
Total magnetic moment = 0.0 μB/cell
Calculated volume = 14.810 Å³/atom
ΔE_f = 151 meV/atom